First-principles (PBE+U) data for a relaxed structure of Co2SiO, as listed in Alexandria via LeMat-Bulk.

Lattice parameters (Å, degrees): 5.285 5.285 5.501 61.29 61.29 90.00
Element x y z (fractional)
Co 0.375 0.433 0.750
Co 0.183 0.625 0.250
Co 0.567 0.125 0.250
Co 0.875 0.817 0.750
Si 0.750 0.250 0.500
Si 0.000 0.000 0.000
O 0.500 0.500 0.000
O 0.250 0.750 0.500

Values from the calculation:
**Polymorph energy (0 for the lowest one)**: 0.0 kJ/mol of atoms
**Raw total energy**: -41.4 eV per cell
**Spin magnetization**: 0.996 μB/atom
**V**: 14.1 A^3/atom